A plane-wave DFT calculation with PBEsol was carried out for crystalline Sc2NbOs at its relaxed geometry.

## Properties
Space group: Fm-3m (225)
Energy relative to the elements (meV/atom): 78
Crystal system: cubic

a = 4.641 Å, b = 4.641 Å, c = 4.641 Å
α = 60.00°, β = 60.00°, γ = 60.00°
Last column: magnetic moment on the atom in μB.
Fractional coordinates of all 4 atoms:
Sc: 0.750 0.750 0.750  0.27
Sc: 0.250 0.250 0.250  0.27
Os: 0.500 0.500 0.500  0.07
Nb: 0.000 0.000 0.000  1.43